Record 1
The following is a PBE calculation of a relaxed structure of Ca2AlV2, from Alexandria.

Summary:
* formation enthalpy at 0 K: 0.976 eV/atom

a = 8.107 Å, b = 8.107 Å, c = 3.705 Å
α = 90.00°, β = 90.00°, γ = 90.00°
Element x y z (fractional)
Ca (0.137, 0.363, 0.000)
Ca (0.363, 0.863, 0.000)
Ca (0.637, 0.137, 0.000)
Ca (0.863, 0.637, 0.000)
Al (0.000, 0.000, 0.000)
Al (0.500, 0.500, 0.000)
V (0.169, 0.669, 0.500)
V (0.331, 0.169, 0.500)
V (0.669, 0.831, 0.500)
V (0.831, 0.331, 0.500)

---

Record 2
The following is a PBE calculation of a relaxed structure of CaAlV3, from Alexandria.

Summary:
* formation enthalpy at 0 K: 1.083 eV/atom

a = 4.890 Å, b = 4.890 Å, c = 4.890 Å
α = 90.00°, β = 90.00°, γ = 90.00°
Element x y z (fractional)
Ca (0.000, 0.000, 0.000)
Al (0.500, 0.500, 0.500)
V (0.000, 0.500, 0.500)
V (0.500, 0.000, 0.500)
V (0.500, 0.500, 0.000)

---

Record 3
The following is a PBE calculation of a relaxed structure of CaAl3V, from Alexandria.

Summary:
* formation enthalpy at 0 K: 0.134 eV/atom

a = 4.831 Å, b = 4.831 Å, c = 4.831 Å
α = 90.00°, β = 90.00°, γ = 90.00°
Element x y z (fractional)
Ca (0.000, 0.000, 0.000)
Al (0.000, 0.500, 0.500)
Al (0.500, 0.000, 0.500)
Al (0.500, 0.500, 0.000)
V (0.500, 0.500, 0.500)

---

no.,total DFT energy (no corrections) (eV per atom),energy above the lowest structure with this stoichiometry (kJ/mol of formula units),Fermi-level density of states (states/eV per atom)
1,-4.221,295,1.286
2,-5.537,0,2.027
3,-4.336,0,0.911